Material: Nd12YCd3
Method: DFT, PBE
State: relaxed

```
data_Nd12YCd3
_chemical_formula_sum 'Nd12 Y1 Cd3'
_symmetry_space_group_name_H-M 'P 1'
_symmetry_Int_Tables_number 1
_cell_length_a 5.011
_cell_length_b 5.011
_cell_length_c 20.342
_cell_angle_alpha 90.00
_cell_angle_beta 90.00
_cell_angle_gamma 90.00
loop_
_symmetry_equiv_pos_as_xyz
'x,y,z'
loop_
_atom_site_label
_atom_site_fract_x
_atom_site_fract_y
_atom_site_fract_z
Nd1 0.000 0.000 0.000
Nd2 0.000 0.000 0.245
Nd3 0.000 0.000 0.500
Nd4 0.000 0.000 0.755
Nd5 0.000 0.500 0.122
Nd6 0.000 0.500 0.369
Nd7 0.000 0.500 0.631
Nd8 0.000 0.500 0.878
Nd9 0.500 0.000 0.122
Nd10 0.500 0.000 0.369
Nd11 0.500 0.000 0.631
Nd12 0.500 0.000 0.878
Y1 0.500 0.500 0.500
Cd1 0.500 0.500 0.000
Cd2 0.500 0.500 0.243
Cd3 0.500 0.500 0.757
```

Properties
- Magnetic moment: 0.001 μB per formula unit
- Energy relative to the elements: -1.20 eV per formula unit
- Space-group type: P4/mmm (123)
- N(E_F): 24.10 states/eV per cell

=====

Material: Nd3Y12Cd
Method: DFT, PBE
State: relaxed

```
data_Nd3Y12Cd
_chemical_formula_sum 'Nd3 Y12 Cd1'
_symmetry_space_group_name_H-M 'P 1'
_symmetry_Int_Tables_number 1
_cell_length_a 5.027
_cell_length_b 5.027
_cell_length_c 20.331
_cell_angle_alpha 90.00
_cell_angle_beta 90.00
_cell_angle_gamma 90.00
loop_
_symmetry_equiv_pos_as_xyz
'x,y,z'
loop_
_atom_site_label
_atom_site_fract_x
_atom_site_fract_y
_atom_site_fract_z
Nd1 0.000 0.000 0.000
Nd2 0.000 0.000 0.253
Nd3 0.000 0.000 0.747
Y1 0.000 0.500 0.127
Y2 0.000 0.500 0.381
Y3 0.000 0.500 0.619
Y4 0.000 0.500 0.873
Y5 0.500 0.000 0.127
Y6 0.500 0.000 0.381
Y7 0.500 0.000 0.619
Y8 0.500 0.000 0.873
Y9 0.500 0.500 0.000
Y10 0.500 0.500 0.257
Y11 0.500 0.500 0.500
Y12 0.500 0.500 0.743
Cd1 0.000 0.000 0.500
```

Properties
- Magnetic moment: 0.000 μB per formula unit
- Energy relative to the elements: -0.03 eV per formula unit
- Space-group type: P4/mmm (123)
- N(E_F): 21.42 states/eV per cell

=====

Material: Nd5Y3Cd2
Method: DFT, PBE
State: relaxed

```
data_Nd5Y3Cd2
_chemical_formula_sum 'Nd10 Y6 Cd4'
_symmetry_space_group_name_H-M 'P 1'
_symmetry_Int_Tables_number 1
_cell_length_a 12.237
_cell_length_b 12.237
_cell_length_c 12.237
_cell_angle_alpha 140.06
_cell_angle_beta 52.89
_cell_angle_gamma 146.78
loop_
_symmetry_equiv_pos_as_xyz
'x,y,z'
loop_
_atom_site_label
_atom_site_fract_x
_atom_site_fract_y
_atom_site_fract_z
Nd1 0.086 0.750 0.336
Nd2 0.217 0.169 0.386
Nd3 0.250 0.250 0.000
Nd4 0.283 0.669 0.952
Nd5 0.414 0.750 0.664
Nd6 0.586 0.250 0.336
Nd7 0.717 0.331 0.048
Nd8 0.750 0.750 0.000
Nd9 0.783 0.831 0.614
Nd10 0.914 0.250 0.664
Y1 0.121 0.824 0.945
Y2 0.250 0.750 0.500
Y3 0.379 0.324 0.703
Y4 0.621 0.676 0.297
Y5 0.750 0.250 0.500
Y6 0.879 0.176 0.055
Cd1 0.077 0.245 0.322
Cd2 0.423 0.745 0.168
Cd3 0.577 0.255 0.832
Cd4 0.923 0.755 0.678
```

Properties
- Magnetic moment: 0.000 μB per formula unit
- Energy relative to the elements: 0.00 eV per formula unit
- Space-group type: Ibam (72)
- N(E_F): 23.59 states/eV per cell

=====

Material: Nd6YCd
Method: DFT, PBE
State: relaxed

```
data_Nd6YCd
_chemical_formula_sum 'Nd6 Y1 Cd1'
_symmetry_space_group_name_H-M 'P 1'
_symmetry_Int_Tables_number 1
_cell_length_a 5.044
_cell_length_b 5.044
_cell_length_c 10.313
_cell_angle_alpha 90.00
_cell_angle_beta 90.00
_cell_angle_gamma 90.00
loop_
_symmetry_equiv_pos_as_xyz
'x,y,z'
loop_
_atom_site_label
_atom_site_fract_x
_atom_site_fract_y
_atom_site_fract_z
Nd1 0.000 0.000 0.000
Nd2 0.000 0.000 0.500
Nd3 0.000 0.500 0.244
Nd4 0.000 0.500 0.756
Nd5 0.500 0.000 0.244
Nd6 0.500 0.000 0.756
Y1 0.500 0.500 0.500
Cd1 0.500 0.500 0.000
```

Properties
- Offset from the most stable computed form: 0.000 eV/atom
- Magnetic moment: 0.000 μB per formula unit
- Energy relative to the elements: -0.34 eV per formula unit
- Space-group type: P4/mmm (123)
- N(E_F): 9.82 states/eV per cell

=====

Question: energy relative to the elements of number 1 (Nd12YCd3)?
Answer: -1.20 eV per formula unit

=====

Question: Number 2 is which compound?
Answer: Nd3Y12Cd

=====

Question: Which value of energy relative to the elements does entry 3 give?
Answer: 0.00 eV per formula unit